(1)
{
  "formula": "AcHoScPb",
  "functional": "GGA-PBE",
  "state": "relaxed",
  "lattice_angstrom": [[-4.133, -1.169, 3.417], [1.048, -1.323, 5.222], [-1.301, 3.492, 4.029]],
  "species": ["Pb", "Sc", "Ac", "Ho"],
  "fractional_positions": [[0.000, 0.000, 0.000], [0.250, 0.250, 0.250], [0.500, 0.500, 0.500], [0.750, 0.750, 0.750]],
  "delta_e_f_mev_per_atom": -18,
  "spacegroup": "F-43m"
}

=====

(2)
{
  "formula": "AcSmHoPb",
  "functional": "GGA-PBE",
  "state": "relaxed",
  "lattice_angstrom": [[-4.896, 0.346, 2.781], [-4.563, -2.662, -1.980], [-2.031, -4.513, 2.709]],
  "species": ["Pb", "Ac", "Ho", "Sm"],
  "fractional_positions": [[0.250, 0.250, 0.250], [0.750, 0.750, 0.750], [0.500, 0.500, 0.500], [0.000, 0.000, 0.000]],
  "delta_e_f_mev_per_atom": -70,
  "spacegroup": "F-43m"
}

=====

(3)
{
  "formula": "AcHoSnPb",
  "functional": "GGA-PBE",
  "state": "relaxed",
  "lattice_angstrom": [[5.630, 0.000, 0.000], [2.815, 4.876, 0.000], [2.815, 1.625, 4.597]],
  "species": ["Pb", "Ac", "Ho", "Sn"],
  "fractional_positions": [[0.750, 0.750, 0.750], [0.000, 0.000, 0.000], [0.500, 0.500, 0.500], [0.250, 0.250, 0.250]],
  "delta_e_f_mev_per_atom": -445,
  "spacegroup": "F-43m"
}

=====

(4)
{
  "formula": "AcTbHoPb",
  "functional": "GGA-PBE",
  "state": "relaxed",
  "lattice_angstrom": [[-3.814, 3.412, 2.297], [-0.468, 0.332, 5.580], [1.645, 4.645, 2.681]],
  "species": ["Pb", "Ac", "Tb", "Ho"],
  "fractional_positions": [[0.750, 0.750, 0.750], [0.250, 0.250, 0.250], [0.500, 0.500, 0.500], [0.000, 0.000, 0.000]],
  "delta_e_f_mev_per_atom": -50,
  "spacegroup": "F-43m"
}

=====

(5)
{
  "formula": "AcHoTePb",
  "functional": "GGA-PBE",
  "state": "relaxed",
  "lattice_angstrom": [[-3.038, 2.929, -1.906], [-3.747, 1.322, 2.378], [1.575, 7.228, 2.972]],
  "species": ["Ac", "Ho", "Te", "Pb"],
  "fractional_positions": [[0.691, 0.691, 0.928], [0.198, 0.198, 0.407], [0.452, 0.452, 0.643], [0.936, 0.936, 0.193]],
  "formation_energy_uncorrected_ev_per_atom": -0.9574,
  "spacegroup": "R3m"
}

=====

(6)
{
  "formula": "AcHoTmPb",
  "functional": "GGA-PBE",
  "state": "relaxed",
  "lattice_angstrom": [[5.584, 0.000, 0.000], [2.792, 4.836, 0.000], [2.792, 1.612, 4.559]],
  "species": ["Pb", "Ac", "Tm", "Ho"],
  "fractional_positions": [[0.250, 0.250, 0.250], [0.750, 0.750, 0.750], [0.500, 0.500, 0.500], [0.000, 0.000, 0.000]],
  "delta_e_f_mev_per_atom": -16,
  "spacegroup": "F-43m"
}

=====

(7)
{
  "formula": "AcYHoPb",
  "functional": "GGA-PBE",
  "state": "relaxed",
  "lattice_angstrom": [[-4.851, 1.137, 2.581], [-4.867, -1.249, -2.498], [-3.175, -4.184, 1.975]],
  "species": ["Pb", "Y", "Ac", "Ho"],
  "fractional_positions": [[0.000, 0.000, 0.000], [0.750, 0.750, 0.750], [0.500, 0.500, 0.500], [0.250, 0.250, 0.250]],
  "delta_e_f_mev_per_atom": -52,
  "spacegroup": "F-43m"
}

=====

(8)
{
  "formula": "AcHoPd2",
  "functional": "GGA-PBE",
  "state": "relaxed",
  "lattice_angstrom": [[-1.547, 3.257, 2.118], [-3.674, -0.340, 1.969], [1.648, -1.277, 7.297]],
  "species": ["Ac", "Ho", "Pd", "Pd"],
  "fractional_positions": [[0.497, 0.497, 0.510], [0.670, 0.670, 0.990], [0.075, 0.075, 0.776], [0.259, 0.259, 0.224]],
  "delta_e_f_mev_per_atom": -677,
  "spacegroup": "R3m",
  "de_polymorph_mev_per_atom": 150
}

=====

(9)
{
  "formula": "Ac2Ho3Pd2",
  "functional": "GGA-PBE",
  "state": "relaxed",
  "lattice_angstrom": [[-1.172, -2.864, -2.355], [-4.064, -3.933, 3.595], [-8.227, 2.333, -1.956]],
  "species": ["Ac", "Ac", "Ho", "Ho", "Ho", "Pd", "Pd"],
  "fractional_positions": [[0.154, 0.497, 0.196], [0.846, 0.503, 0.804], [0.500, 0.000, 0.000], [0.381, 0.801, 0.437], [0.619, 0.199, 0.563], [0.158, 0.924, 0.759], [0.842, 0.076, 0.241]],
  "delta_e_f_mev_per_atom": -505,
  "spacegroup": "C2/m"
}

=====

(10)
{
  "formula": "Ac3HoPd12",
  "functional": "GGA-PBE",
  "state": "relaxed",
  "lattice_angstrom": [[-3.760, -1.974, -0.431], [1.105, -1.247, -3.930], [6.753, -14.268, 6.425]],
  "species": ["Ac", "Ac", "Ac", "Ho", "Pd", "Pd", "Pd", "Pd", "Pd", "Pd", "Pd", "Pd", "Pd", "Pd", "Pd", "Pd"],
  "fractional_positions": [[0.000, 0.000, 0.243], [0.000, 0.000, 0.500], [0.000, 0.000, 0.757], [0.000, 0.000, 0.000], [0.500, 0.500, 0.000], [0.500, 0.500, 0.244], [0.500, 0.500, 0.500], [0.500, 0.500, 0.756], [0.500, 0.000, 0.115], [0.500, 0.000, 0.372], [0.500, 0.000, 0.628], [0.500, 0.000, 0.885], [0.000, 0.500, 0.115], [0.000, 0.500, 0.372], [0.000, 0.500, 0.628], [0.000, 0.500, 0.885]],
  "delta_e_f_mev_per_atom": -764,
  "spacegroup": "P4/mmm"
}

=====

(11)
{
  "formula": "AcHo2Pd9",
  "functional": "GGA-PBE",
  "state": "relaxed",
  "lattice_angstrom": [[-2.632, 2.238, 2.396], [-2.964, -0.310, -2.966], [-4.141, -10.472, 5.232]],
  "species": ["Ac", "Ho", "Ho", "Pd", "Pd", "Pd", "Pd", "Pd", "Pd", "Pd", "Pd", "Pd"],
  "fractional_positions": [[0.000, 0.000, 0.000], [0.000, 0.000, 0.340], [0.000, 0.000, 0.660], [0.500, 0.500, 0.000], [0.500, 0.500, 0.339], [0.500, 0.500, 0.661], [0.500, 0.000, 0.178], [0.500, 0.000, 0.500], [0.500, 0.000, 0.822], [0.000, 0.500, 0.178], [0.000, 0.500, 0.500], [0.000, 0.500, 0.822]],
  "delta_e_f_mev_per_atom": -824,
  "spacegroup": "P4/mmm"
}

=====

(12)
{
  "formula": "AcHoPd2",
  "functional": "GGA-PBE",
  "state": "relaxed",
  "lattice_angstrom": [[4.316, 0.000, 0.000], [2.158, 3.738, 0.000], [2.158, 1.246, 6.651]],
  "species": ["Ac", "Ho", "Pd", "Pd"],
  "fractional_positions": [[0.500, 0.500, 0.500], [0.000, 0.000, 0.000], [0.739, 0.739, 0.783], [0.261, 0.261, 0.217]],
  "delta_e_f_mev_per_atom": -760,
  "spacegroup": "R-3m",
  "de_polymorph_mev_per_atom": 67
}

=====

(13)
{
  "formula": "AcHoPd2",
  "functional": "GGA-PBE",
  "state": "relaxed",
  "lattice_angstrom": [[-2.511, -2.817, -1.134], [1.326, 0.598, -4.420], [5.206, -2.388, 1.238]],
  "species": ["Ac", "Ho", "Pd", "Pd"],
  "fractional_positions": [[0.444, 0.500, 0.425], [0.715, 0.000, 0.969], [0.171, 0.500, 0.881], [0.002, 0.000, 0.543]],
  "delta_e_f_mev_per_atom": -827,
  "spacegroup": "Amm2",
  "de_polymorph_mev_per_atom": 0
}

=====

(14)
{
  "formula": "AcHoPd2",
  "functional": "GGA-PBE",
  "state": "relaxed",
  "lattice_angstrom": [[3.647, 0.000, 0.000], [0.000, 3.647, 0.000], [0.000, 0.000, 7.297]],
  "species": ["Ac", "Ho", "Pd", "Pd"],
  "fractional_positions": [[0.500, 0.500, 0.500], [0.500, 0.500, 0.000], [0.000, 0.000, 0.786], [0.000, 0.000, 0.214]],
  "delta_e_f_mev_per_atom": -779,
  "spacegroup": "P4/mmm",
  "de_polymorph_mev_per_atom": 49
}

=====

(15)
{
  "formula": "AcHoPd2",
  "functional": "GGA-PBE",
  "state": "relaxed",
  "lattice_angstrom": [[5.183, 0.000, 0.000], [2.592, 4.489, 0.000], [2.592, 1.496, 4.232]],
  "species": ["Ac", "Ho", "Pd", "Pd"],
  "fractional_positions": [[0.500, 0.500, 0.500], [0.000, 0.000, 0.000], [0.250, 0.250, 0.250], [0.750, 0.750, 0.750]],
  "delta_e_f_mev_per_atom": -732,
  "spacegroup": "Fm-3m",
  "de_polymorph_mev_per_atom": 96
}

=====

(16)
{
  "formula": "AcHoPd6",
  "functional": "GGA-PBE",
  "state": "relaxed",
  "lattice_angstrom": [[-4.070, -0.085, -1.194], [-0.991, -2.134, 3.530], [-1.318, 7.202, 3.982]],
  "species": ["Ac", "Ho", "Pd", "Pd", "Pd", "Pd", "Pd", "Pd"],
  "fractional_positions": [[0.000, 0.000, 0.000], [0.000, 0.000, 0.500], [0.500, 0.500, 0.000], [0.500, 0.500, 0.500], [0.500, 0.000, 0.264], [0.500, 0.000, 0.736], [0.000, 0.500, 0.264], [0.000, 0.500, 0.736]],
  "delta_e_f_mev_per_atom": -798,
  "spacegroup": "P4/mmm"
}

=====

(17)
{
  "formula": "AcHoPdPt",
  "functional": "GGA-PBE",
  "state": "relaxed",
  "lattice_angstrom": [[-2.099, -2.174, -3.669], [4.747, 0.093, 0.309], [-2.551, -3.812, 3.718]],
  "species": ["Ac", "Ho", "Pd", "Pt"],
  "fractional_positions": [[0.618, 0.235, 0.495], [0.115, 0.230, 0.987], [0.836, 0.672, 0.150], [0.398, 0.796, 0.836]],
  "delta_e_f_mev_per_atom": -967,
  "spacegroup": "R3m",
  "de_polymorph_mev_per_atom": 0
}

=====

(18)
{
  "formula": "AcHoPdPt",
  "functional": "GGA-PBE",
  "state": "relaxed",
  "lattice_angstrom": [[5.163, 0.000, 0.000], [2.582, 4.472, 0.000], [2.582, 1.491, 4.216]],
  "species": ["Ac", "Pd", "Ho", "Pt"],
  "fractional_positions": [[0.500, 0.500, 0.500], [0.250, 0.250, 0.250], [0.000, 0.000, 0.000], [0.750, 0.750, 0.750]],
  "delta_e_f_mev_per_atom": -892,
  "spacegroup": "F-43m",
  "de_polymorph_mev_per_atom": 75
}

=====

(19)
{
  "formula": "AcHoPdRh",
  "functional": "GGA-PBE",
  "state": "relaxed",
  "lattice_angstrom": [[5.108, 0.000, 0.000], [2.554, 4.424, 0.000], [2.554, 1.475, 4.171]],
  "species": ["Ac", "Rh", "Ho", "Pd"],
  "fractional_positions": [[0.750, 0.750, 0.750], [0.500, 0.500, 0.500], [0.250, 0.250, 0.250], [0.000, 0.000, 0.000]],
  "delta_e_f_mev_per_atom": -693,
  "spacegroup": "F-43m"
}

=====

(20)
{
  "formula": "AcHoPdRu",
  "functional": "GGA-PBE",
  "state": "relaxed",
  "lattice_angstrom": [[5.080, 0.000, 0.000], [2.540, 4.400, 0.000], [2.540, 1.467, 4.148]],
  "species": ["Ru", "Ac", "Ho", "Pd"],
  "fractional_positions": [[0.000, 0.000, 0.000], [0.750, 0.750, 0.750], [0.250, 0.250, 0.250], [0.500, 0.500, 0.500]],
  "delta_e_f_mev_per_atom": -428,
  "spacegroup": "F-43m"
}